(1)
A geometry-optimized PmYC4 structure, computed with PBE.

Lattice parameters (Å, degrees): 7.4228 3.7416 7.2550 90.00 118.46 90.00
With the nearest neighbours (Å) after each atom.
Fractional positions:
Pm1 0.0000 0.0000 0.0000  10 C 2.55-2.76
Pm2 0.5000 0.5000 0.0000  10 C 2.55-2.76
Y1 0.0000 0.5000 0.5000  10 C 2.46-2.73
Y2 0.5000 0.0000 0.5000  10 C 2.46-2.73
C1 0.1954 0.0000 0.7910  1 C 1.30
C2 0.1989 0.5000 0.3094  1 C 1.30
C3 0.3011 0.0000 0.6906  1 C 1.30
C4 0.3046 0.5000 0.2090  1 C 1.30
C5 0.6954 0.5000 0.7910  1 C 1.30
C6 0.6989 0.0000 0.3094  1 C 1.30
C7 0.8011 0.5000 0.6906  1 C 1.30
C8 0.8046 0.0000 0.2090  1 C 1.30

Output
E_tot ... -98.2 eV for the cell shown
Space group ... C2/m

***

(2)
A geometry-optimized Pm3YC8 structure, computed with PBE.

Lattice parameters (Å, degrees): 6.3741 6.3741 6.3741 111.19 111.19 106.09
With the nearest neighbours (Å) after each atom.
Fractional positions:
Pm1 0.0000 0.0000 0.0000  8 C 2.58-2.68
Pm2 0.2500 0.7500 0.5000  8 C 2.71
Pm3 0.7500 0.2500 0.5000  8 C 2.71
Y1 0.5000 0.5000 0.0000  4 C 2.38
C1 0.1046 0.6368 0.0000  1 C 1.29
C2 0.1145 0.4370 0.0000  1 C 1.29
C3 0.3632 0.3632 0.4678  1 C 1.29
C4 0.4370 0.1145 0.0000  1 C 1.29
C5 0.5629 0.5629 0.6774  1 C 1.29
C6 0.6368 0.1046 0.0000  1 C 1.29
C7 0.8855 0.8855 0.3226  1 C 1.29
C8 0.8954 0.8954 0.5322  1 C 1.29

Output
E_tot ... -92.8 eV for the cell shown
Space group ... I-42m

***

(3)
A geometry-optimized PmYC structure, computed with PBE.

Lattice parameters (Å, degrees): 3.6243 3.6243 6.4503 90.00 90.00 120.00
With the nearest neighbours (Å) after each atom.
Fractional positions:
Pm1 0.0000 0.0000 0.0000  3 C 2.54
Y1 0.3333 0.6667 0.4276  3 C 2.48
C1 0.6667 0.3333 0.2223  3 Y 2.48, 3 Pm 2.54

Output
E_tot ... -21.0 eV for the cell shown
Energy relative to the lowest polymorph listed for this composition ... 13 meV/atom
Space group ... P3m1

***

(4)
A geometry-optimized Pm3ZnC structure, computed with PBE.

Lattice parameters (Å, degrees): 8.9076 6.4223 9.4396 90.00 115.18 90.00
With the nearest neighbours (Å) after each atom.
Fractional positions:
Pm1 0.0816 0.0680 0.3611  3 C 2.59-2.67
Pm2 0.0816 0.4320 0.8611  3 C 2.59-2.67
Pm3 0.2017 0.5851 0.5556  2 C 2.55-2.56
Pm4 0.2017 0.9149 0.0556  2 C 2.55-2.56
Pm5 0.3596 0.1073 0.7659  1 C 2.47
Pm6 0.3596 0.3927 0.2659  1 C 2.47
Pm7 0.6404 0.6073 0.7341  1 C 2.47
Pm8 0.6404 0.8927 0.2341  1 C 2.47
Pm9 0.7983 0.0851 0.9444  2 C 2.55-2.56
Pm10 0.7983 0.4149 0.4444  2 C 2.55-2.56
Pm11 0.9184 0.5680 0.1389  3 C 2.59-2.67
Pm12 0.9184 0.9320 0.6389  3 C 2.59-2.67
Zn1 0.4257 0.6548 0.9211  1 Zn 2.50
Zn2 0.4257 0.8452 0.4211  1 Zn 2.50
Zn3 0.5743 0.1548 0.5789  1 Zn 2.50
Zn4 0.5743 0.3452 0.0789  1 Zn 2.50
C1 0.0807 0.2490 0.6069  6 Pm 2.47-2.67
C2 0.0807 0.2510 0.1069  6 Pm 2.47-2.67
C3 0.9193 0.7490 0.8931  6 Pm 2.47-2.67
C4 0.9193 0.7510 0.3931  6 Pm 2.47-2.67

Output
E_tot ... -102.0 eV for the cell shown
Energy relative to the lowest polymorph listed for this composition ... 18 meV/atom
Space group ... P2_1/c

***

(5)
A geometry-optimized Pm3ZnC structure, computed with PBE.

Lattice parameters (Å, degrees): 7.7258 7.7258 8.8885 92.33 92.33 27.96
With the nearest neighbours (Å) after each atom.
Fractional positions:
Pm1 0.0493 0.0493 0.2748  1 C 2.50
Pm2 0.2466 0.2466 0.6757  2 C 2.55
Pm3 0.3502 0.3502 0.0338  3 C 2.56-2.57
Pm4 0.6498 0.6498 0.9662  3 C 2.56-2.57
Pm5 0.7534 0.7534 0.3243  2 C 2.55
Pm6 0.9507 0.9507 0.7252  1 C 2.50
Zn1 0.4133 0.4133 0.4406  1 Zn 2.77
Zn2 0.5867 0.5867 0.5594  1 Zn 2.77
C1 0.1959 0.1959 0.1504  6 Pm 2.50-2.57
C2 0.8041 0.8041 0.8496  6 Pm 2.50-2.57

Output
E_tot ... -51.2 eV for the cell shown
Energy relative to the lowest polymorph listed for this composition ... 0 meV/atom
Space group ... C2/m

***

(6)
A geometry-optimized Pm3ZnC structure, computed with PBE.

Lattice parameters (Å, degrees): 5.0389 5.0389 5.0389 90.00 90.00 90.00
With the nearest neighbours (Å) after each atom.
Fractional positions:
Pm1 0.0000 0.0000 0.5000  2 C 2.52
Pm2 0.0000 0.5000 0.0000  2 C 2.52
Pm3 0.5000 0.0000 0.0000  2 C 2.52
Zn1 0.5000 0.5000 0.5000  12 Pm 3.56
C1 0.0000 0.0000 0.0000  6 Pm 2.52

Output
E_tot ... -25.2 eV for the cell shown
Energy relative to the lowest polymorph listed for this composition ... 73 meV/atom
Space group ... Pm-3m

***

(7)
A geometry-optimized PmZnC structure, computed with PBE.

Lattice parameters (Å, degrees): 6.4349 3.6812 10.2894 90.00 101.75 90.00
With the nearest neighbours (Å) after each atom.
Fractional positions:
Pm1 0.1078 0.0000 0.3333  1 C 2.68, 3 Zn 2.96-2.97
Pm2 0.3922 0.5000 0.6667  1 C 2.68, 3 Zn 2.96-2.97
Pm3 0.6078 0.5000 0.3333  1 C 2.68, 3 Zn 2.96-2.97
Pm4 0.8922 0.0000 0.6667  1 C 2.68, 3 Zn 2.96-2.97
Zn1 0.2103 0.5000 0.1292  3 C 2.22-2.23
Zn2 0.2897 0.0000 0.8708  3 C 2.22-2.23
Zn3 0.7103 0.0000 0.1292  3 C 2.22-2.23
Zn4 0.7897 0.5000 0.8708  3 C 2.22-2.23
C1 0.0230 0.0000 0.0671  1 C 1.35
C2 0.4770 0.5000 0.9329  1 C 1.35
C3 0.5230 0.5000 0.0671  1 C 1.35
C4 0.9770 0.0000 0.9329  1 C 1.35

Output
E_tot ... -56.9 eV for the cell shown
Energy relative to the lowest polymorph listed for this composition ... 580 meV/atom
Space group ... C2/m

***

(8)
A geometry-optimized PmZnC structure, computed with PBE.

Lattice parameters (Å, degrees): 7.7148 3.8562 7.9146 90.00 104.51 90.00
With the nearest neighbours (Å) after each atom.
Fractional positions:
Pm1 0.0942 0.0000 0.3099  3 C 2.45-2.67
Pm2 0.4058 0.5000 0.6901  3 C 2.45-2.67
Pm3 0.5942 0.5000 0.3099  3 C 2.45-2.67
Pm4 0.9058 0.0000 0.6901  3 C 2.45-2.67
Zn1 0.1558 0.5000 0.9971  3 Zn 2.41-2.42
Zn2 0.3442 0.0000 0.0029  3 Zn 2.41-2.42
Zn3 0.6558 0.0000 0.9971  3 Zn 2.41-2.42
Zn4 0.8442 0.5000 0.0029  3 Zn 2.41-2.42
C1 0.0858 0.5000 0.5416  1 C 1.32
C2 0.4142 0.0000 0.4584  1 C 1.32
C3 0.5858 0.0000 0.5416  1 C 1.32
C4 0.9142 0.5000 0.4584  1 C 1.32

Output
E_tot ... -63.9 eV for the cell shown
Energy relative to the lowest polymorph listed for this composition ... 0 meV/atom
Space group ... C2/m

***

(9)
A geometry-optimized Pm12Zn3C5 structure, computed with PBE.

Lattice parameters (Å, degrees): 13.9724 13.9724 13.9724 109.47 109.47 109.47
With the nearest neighbours (Å) after each atom.
Fractional positions:
Pm1 0.0218 0.2037 0.1151  2 C 2.38-2.61
Pm2 0.0218 0.3180 0.9067  2 C 2.38-2.61
Pm3 0.0886 0.7037 0.6820  2 C 2.38-2.61
Pm4 0.0886 0.8849 0.4067  2 C 2.38-2.61
Pm5 0.0933 0.6151 0.4114  2 C 2.38-2.61
Pm6 0.0933 0.9782 0.6820  2 C 2.38-2.61
Pm7 0.1151 0.0218 0.2037  2 C 2.38-2.61
Pm8 0.1151 0.5933 0.9114  2 C 2.38-2.61
Pm9 0.1820 0.2037 0.5886  2 C 2.38-2.61
Pm10 0.1820 0.4782 0.5933  2 C 2.38-2.61
Pm11 0.2037 0.1151 0.0218  2 C 2.38-2.61
Pm12 0.2037 0.5886 0.1820  2 C 2.38-2.61
Pm13 0.2963 0.3180 0.9114  2 C 2.38-2.61
Pm14 0.2963 0.4782 0.3849  2 C 2.38-2.61
Pm15 0.3180 0.9067 0.0218  2 C 2.38-2.61
Pm16 0.3180 0.9114 0.2963  2 C 2.38-2.61
Pm17 0.3849 0.2963 0.4782  2 C 2.38-2.61
Pm18 0.3849 0.5886 0.9067  2 C 2.38-2.61
Pm19 0.4067 0.0886 0.8849  2 C 2.38-2.61
Pm20 0.4067 0.8180 0.5218  2 C 2.38-2.61
Pm21 0.4114 0.0933 0.6151  2 C 2.38-2.61
Pm22 0.4114 0.8180 0.7963  2 C 2.38-2.61
Pm23 0.4782 0.3849 0.2963  2 C 2.38-2.61
Pm24 0.4782 0.5933 0.1820  2 C 2.38-2.61
Pm25 0.5218 0.4067 0.8180  2 C 2.38-2.61
Pm26 0.5218 0.6151 0.7037  2 C 2.38-2.61
Pm27 0.5886 0.1820 0.2037  2 C 2.38-2.61
Pm28 0.5886 0.9067 0.3849  2 C 2.38-2.61
Pm29 0.5933 0.1820 0.4782  2 C 2.38-2.61
Pm30 0.5933 0.9114 0.1151  2 C 2.38-2.61
Pm31 0.6151 0.4114 0.0933  2 C 2.38-2.61
Pm32 0.6151 0.7037 0.5218  2 C 2.38-2.61
Pm33 0.6820 0.0886 0.7037  2 C 2.38-2.61
Pm34 0.6820 0.0933 0.9782  2 C 2.38-2.61
Pm35 0.7037 0.5218 0.6151  2 C 2.38-2.61
Pm36 0.7037 0.6820 0.0886  2 C 2.38-2.61
Pm37 0.7963 0.4114 0.8180  2 C 2.38-2.61
Pm38 0.7963 0.8849 0.9782  2 C 2.38-2.61
Pm39 0.8180 0.5218 0.4067  2 C 2.38-2.61
Pm40 0.8180 0.7963 0.4114  2 C 2.38-2.61
Pm41 0.8849 0.4067 0.0886  2 C 2.38-2.61
Pm42 0.8849 0.9782 0.7963  2 C 2.38-2.61
Pm43 0.9067 0.0218 0.3180  2 C 2.38-2.61
Pm44 0.9067 0.3849 0.5886  2 C 2.38-2.61
Pm45 0.9114 0.1151 0.5933  2 C 2.38-2.61
Pm46 0.9114 0.2963 0.3180  2 C 2.38-2.61
Pm47 0.9782 0.6820 0.0933  2 C 2.38-2.61
Pm48 0.9782 0.7963 0.8849  2 C 2.38-2.61
Zn1 0.1250 0.2500 0.3750  8 Pm 3.16-3.21
Zn2 0.1250 0.3750 0.7500  8 Pm 3.16-3.21
Zn3 0.2500 0.3750 0.1250  8 Pm 3.16-3.21
Zn4 0.2500 0.8750 0.6250  8 Pm 3.16-3.21
Zn5 0.3750 0.1250 0.2500  8 Pm 3.16-3.21
Zn6 0.3750 0.7500 0.1250  8 Pm 3.16-3.21
Zn7 0.6250 0.2500 0.8750  8 Pm 3.16-3.21
Zn8 0.6250 0.8750 0.7500  8 Pm 3.16-3.21
Zn9 0.7500 0.1250 0.3750  8 Pm 3.16-3.21
Zn10 0.7500 0.6250 0.8750  8 Pm 3.16-3.21
Zn11 0.8750 0.6250 0.2500  8 Pm 3.16-3.21
Zn12 0.8750 0.7500 0.6250  8 Pm 3.16-3.21
C1 0.0000 0.0000 0.0000  6 Pm 2.61
C2 0.0000 0.0000 0.5000  6 Pm 2.61
C3 0.0000 0.5000 0.0000  6 Pm 2.61
C4 0.0000 0.5000 0.5000  6 Pm 2.61
C5 0.1250 0.7500 0.8750  4 Pm 2.38
C6 0.1250 0.8750 0.2500  4 Pm 2.38
C7 0.2500 0.1250 0.8750  4 Pm 2.38
C8 0.2500 0.6250 0.3750  4 Pm 2.38
C9 0.3750 0.2500 0.6250  4 Pm 2.38
C10 0.3750 0.6250 0.7500  4 Pm 2.38
C11 0.5000 0.0000 0.0000  6 Pm 2.61
C12 0.5000 0.0000 0.5000  6 Pm 2.61
C13 0.5000 0.5000 0.0000  6 Pm 2.61
C14 0.5000 0.5000 0.5000  6 Pm 2.61
C15 0.6250 0.3750 0.2500  4 Pm 2.38
C16 0.6250 0.7500 0.3750  4 Pm 2.38
C17 0.7500 0.3750 0.6250  4 Pm 2.38
C18 0.7500 0.8750 0.1250  4 Pm 2.38
C19 0.8750 0.1250 0.7500  4 Pm 2.38
C20 0.8750 0.2500 0.1250  4 Pm 2.38

Output
E_tot ... -426.3 eV for the cell shown
Space group ... Ia-3d

***

(10)
A geometry-optimized PmZrC structure, computed with PBE.

Lattice parameters (Å, degrees): 3.4740 3.4740 6.0601 90.00 90.00 120.00
With the nearest neighbours (Å) after each atom.
Fractional positions:
Pm1 0.0000 0.0000 0.0000  3 C 2.57
Zr1 0.3333 0.6667 0.5569  3 C 2.28
C1 0.6667 0.3333 0.7350  3 Zr 2.28

Output
E_tot ... -23.3 eV for the cell shown
Energy relative to the lowest polymorph listed for this composition ... 0 meV/atom
Space group ... P3m1

***

Results for E_form: -0.16; 0.14; -0.19; -0.15; -0.17; -0.10; 0.34; -0.24; 0.02; -0.28 (in eV per atom, following the order of the records).